1.
Material: ZrPtC2
Method: DFT, PBE
State: relaxed

```
ZrPtC2
1.0
0.000 2.862 2.862
2.862 0.000 2.862
2.862 2.862 0.000
C Pt Zr
2 1 1
Cartesian
1.431 1.431 1.431
4.293 4.293 4.293
2.862 2.862 2.862
0.000 0.000 0.000
```

Computed properties:
Energy (eV/atom): -7.38
Size of the total moment (μB/f.u.): 0.0
ΔH_f (0 K) (kJ per mole of atoms): 85.0
Excess energy over the best structure of this formula in the dataset (eV per atom): 0.437


2.
Material: Ba3DyZn2O6
Method: DFT, PBE
State: relaxed

```
Ba3DyZn2O6
1.0
-2.293 -4.410 3.651
5.879 -0.271 -1.843
1.952 3.689 5.683
O Ba Zn Dy
6 3 2 1
Cartesian
3.361 -1.296 5.756
2.177 0.304 1.735
0.424 -1.161 6.676
3.968 -2.034 2.637
1.570 1.042 4.853
5.114 0.169 0.814
1.128 -1.713 3.848
0.000 0.000 0.000
4.410 0.721 3.642
1.995 -0.075 6.372
3.543 -0.917 1.118
0.976 1.845 2.842
```

Computed properties:
Energy (eV/atom): -5.78
Size of the total moment (μB/f.u.): 0.6


3.
Material: CaPrSi4
Method: DFT, PBE
State: relaxed

```
CaPrSi4
1.0
4.287 0.147 6.003
-1.301 2.550 6.800
-2.559 -4.103 -5.572
Si Pr Ca
4 1 1
Cartesian
1.868 -1.071 4.521
1.750 1.581 7.504
1.353 -1.536 2.310
1.236 1.116 5.298
0.000 0.000 0.000
-1.184 -0.102 3.814
```

Computed properties:
Energy (eV/atom): -5.24
Size of the total moment (μB/f.u.): 0.0
Excess energy over the best structure of this formula in the dataset (eV per atom): 0.000